MgCr7S12O48 | PBE+U | relaxed

Results
**E**: -6.556 eV per atom
**Space-group type**: P1, No. 1
**Magnetization**: 19.70 μB per cell

a = 8.289 Å, b = 8.883 Å, c = 14.356 Å
α = 74.39°, β = 89.99°, γ = 62.19°
Site moments in Bohr magnetons follow the coordinates.
Fractional positions:
Cr 0.730 0.545 0.575  2.89
O 0.882 0.605 0.860  -0.04
Cr 0.773 0.456 0.924  2.90
O 0.117 0.703 0.163  -0.01
O 0.455 0.919 0.741  -0.03
Cr 0.469 0.066 0.821  2.92
O 0.665 0.605 0.013  -0.02
O 0.381 0.608 0.356  -0.02
O 0.429 0.920 0.943  -0.01
S 0.018 0.251 0.479  0.01
S 0.979 0.747 0.520  0.01
O 0.041 0.607 0.326  -0.01
O 0.005 0.300 0.024  -0.02
Cr 0.271 0.457 0.423  2.91
O 0.959 0.396 0.672  -0.07
O 0.552 0.081 0.257  -0.01
O 0.316 0.764 0.686  -0.03
O 0.547 0.606 0.827  -0.04
O 0.381 0.300 0.336  -0.02
O 0.663 0.300 0.991  -0.02
O 0.070 0.084 0.554  -0.05
O 0.694 0.233 0.311  -0.02
O 0.884 0.303 0.836  -0.04
O 0.502 0.233 0.881  -0.02
O 0.050 0.085 0.756  -0.06
O 0.495 0.771 0.118  -0.02
Cr 0.226 0.546 0.076  2.94
O 0.954 0.231 0.193  -0.02
O 0.495 0.700 0.477  -0.02
O 0.614 0.399 0.641  -0.07
Mg 0.038 0.925 0.679  0.00
S 0.978 0.750 0.230  0.01
O 0.832 0.394 0.487  -0.07
O 0.837 0.696 0.503  -0.03
O 0.452 0.236 0.692  -0.03
O 0.544 0.771 0.307  -0.02
S 0.481 0.749 0.020  0.01
S 0.415 0.749 0.374  0.01
O 0.991 0.764 0.617  -0.03
O 0.332 0.396 0.987  -0.01
S 0.918 0.747 0.878  0.01
S 0.516 0.253 0.979  0.01
O 0.161 0.304 0.488  -0.03
Cr 0.966 0.066 0.323  2.93
O 0.166 0.609 0.509  -0.04
O 0.925 0.921 0.444  -0.03
O 0.120 0.392 0.144  -0.01
O 0.947 0.922 0.242  -0.01
S 0.520 0.253 0.268  0.01
O 0.804 0.770 0.188  -0.02
S 0.486 0.746 0.729  0.01
O 0.197 0.234 0.810  -0.04
O 0.743 0.919 0.855  -0.03
S 0.084 0.251 0.127  0.01
O 0.988 0.699 0.983  -0.02
O 0.457 0.395 0.172  -0.01
Cr 0.532 0.936 0.177  2.93
O 0.501 0.304 0.522  -0.04
O 0.001 0.235 0.379  -0.03
O 0.257 0.079 0.148  -0.01
O 0.632 0.696 0.665  -0.04
S 0.583 0.254 0.625  0.01
O 0.333 0.703 0.008  -0.01
O 0.049 0.765 0.815  -0.03
O 0.568 0.081 0.054  -0.01
O 0.241 0.921 0.354  -0.01
S 0.023 0.252 0.769  0.01
O 0.757 0.088 0.645  -0.05

MgCr3S6O24 | PBE+U | relaxed

Results
**E**: -6.477 eV per atom
**Space-group type**: R3, No. 146
**Magnetization**: 7.81 μB per cell

a = 8.908 Å, b = 8.908 Å, c = 8.908 Å
α = 55.53°, β = 55.53°, γ = 55.53°
Site moments in Bohr magnetons follow the coordinates.
Fractional positions:
O 0.024 0.953 0.328  -0.04
O 0.655 0.026 0.714  -0.07
O 0.240 0.614 0.379  -0.04
O 0.280 0.346 0.980  -0.05
O 0.709 0.486 0.890  -0.05
O 0.346 0.980 0.280  -0.05
O 0.034 0.669 0.992  -0.03
O 0.517 0.116 0.285  -0.04
S 0.244 0.542 0.961  0.01
O 0.669 0.992 0.034  -0.03
O 0.328 0.024 0.953  -0.04
S 0.961 0.244 0.542  0.01
O 0.026 0.714 0.655  -0.07
O 0.953 0.328 0.024  -0.04
O 0.890 0.709 0.486  -0.05
O 0.372 0.626 0.768  -0.03
O 0.768 0.372 0.626  -0.03
S 0.043 0.747 0.462  0.01
O 0.486 0.890 0.709  -0.05
O 0.379 0.240 0.614  -0.04
S 0.747 0.462 0.043  0.01
O 0.626 0.768 0.372  -0.03
S 0.462 0.043 0.747  0.01
Mg 0.642 0.642 0.642  0.00
O 0.614 0.379 0.240  -0.04
Cr 0.848 0.848 0.848  2.89
O 0.285 0.517 0.116  -0.04
O 0.714 0.655 0.026  -0.07
S 0.542 0.961 0.244  0.01
Cr 0.152 0.152 0.152  2.83
O 0.992 0.034 0.669  -0.03
Cr 0.355 0.355 0.355  2.92
O 0.116 0.285 0.517  -0.04
O 0.980 0.280 0.346  -0.05

Sr3MgCr2S2O5 | PBE+U | relaxed

Results
**E**: -6.334 eV per atom
**Space-group type**: I-4m2, No. 119
**Magnetization**: 6.00 μB per cell

a = 13.766 Å, b = 13.766 Å, c = 13.766 Å
α = 163.43°, β = 163.43°, γ = 23.51°
Site moments in Bohr magnetons follow the coordinates.
Fractional positions:
O 0.080 0.580 0.500  0.00
Sr 0.362 0.362 0.000  0.00
O 0.580 0.080 0.500  0.00
S 0.193 0.193 0.000  -0.01
O 0.920 0.420 0.500  0.00
Sr 0.500 0.500 0.000  0.00
Mg 0.750 0.250 0.500  0.00
O 0.000 0.000 0.000  0.01
Sr 0.638 0.638 0.000  0.00
O 0.420 0.920 0.500  0.00
Cr 0.929 0.929 0.000  2.90
S 0.807 0.807 0.000  -0.01
Cr 0.071 0.071 0.000  2.90